No. 1
Material: Cr2BiTeO8
Method: DFT, PBE with a Hubbard U
State: optimized geometry

Cell: 4.690 4.690 6.587 Å, 90.00 90.00 90.82°
Positions (direct):
Cr1 0.000 0.000 0.240
Cr2 0.000 0.000 0.760
Bi1 0.500 0.500 0.500
Te1 0.500 0.500 0.000
O1 0.171 0.171 0.500
O2 0.200 0.200 0.000
O3 0.303 0.697 0.220
O4 0.303 0.697 0.780
O5 0.697 0.303 0.220
O6 0.697 0.303 0.780
O7 0.800 0.800 0.000
O8 0.829 0.829 0.500

Values from the calculation:
V = 12.1 A^3/atom
magnetization = 5.8 μB per formula unit
calculated total energy = -77.780 eV per formula unit
N(E_F) = 0.7 states/eV per cell

No. 2
Material: CrBiTeO5
Method: DFT, PBE with a Hubbard U
State: optimized geometry

Cell: 6.070 6.070 8.255 Å, 110.04 110.04 91.55°
Positions (direct):
Cr1 0.183 0.817 0.750
Cr2 0.817 0.183 0.250
Bi1 0.500 0.500 0.000
Bi2 0.500 0.500 0.500
Te1 0.167 0.833 0.250
Te2 0.833 0.167 0.750
O1 0.172 0.175 0.337
O2 0.175 0.172 0.837
O3 0.208 0.780 0.999
O4 0.220 0.792 0.501
O5 0.397 0.603 0.750
O6 0.603 0.397 0.250
O7 0.780 0.208 0.499
O8 0.792 0.220 0.001
O9 0.825 0.828 0.163
O10 0.828 0.825 0.663

Values from the calculation:
V = 16.5 A^3/atom
magnetization = 3.0 μB per formula unit
calculated total energy = -48.544 eV per formula unit

No. 3
Material: ThCr2BiO8
Method: DFT, PBE with a Hubbard U
State: optimized geometry

Cell: 6.150 6.150 6.150 Å, 106.49 106.49 115.61°
Positions (direct):
Th1 0.000 0.000 0.000
Cr1 0.250 0.750 0.500
Cr2 0.500 0.500 0.000
Bi1 0.750 0.250 0.500
O1 0.069 0.384 0.314
O2 0.069 0.755 0.686
O3 0.151 0.329 0.822
O4 0.245 0.931 0.314
O5 0.507 0.329 0.178
O6 0.616 0.931 0.686
O7 0.671 0.493 0.822
O8 0.671 0.849 0.178

Values from the calculation:
V = 14.8 A^3/atom
magnetization = 3.0 μB per formula unit
calculated total energy = -89.577 eV per formula unit